Below is a relaxed CePr2Zn crystal, with properties calculated at the PBE-GGA level.

Properties
Space group = P4/mmm, No. 123
Energy of formation = 0.001 eV/atom

```
4
Lattice="-4.414 0.696 1.425 1.188 -1.641 4.481 1.163 4.578 1.369" Properties=species:S:1:pos:R:3 pbc="T T T"
Pr 0.582 2.289 0.684
Pr 0.594 -0.821 2.240
Zn -1.032 1.816 3.637
Ce -2.207 0.348 0.712
```

Below is a relaxed ZnSi3Pb crystal, with properties calculated at the PBE-GGA level.

Properties
Space group = Pm-3m, No. 221
E_form (uncorrected) = 0.82 eV/atom

```
5
Lattice="4.785 0.000 0.000 0.000 4.785 0.000 0.000 0.000 4.785" Properties=species:S:1:pos:R:3 pbc="T T T"
Pb 2.392 2.392 2.392
Zn 0.000 0.000 0.000
Si 0.000 2.392 0.000
Si 0.000 0.000 2.392
Si 2.392 0.000 0.000
```

Below is a relaxed RbCo3Br9 crystal, with properties calculated at the PBE-GGA level.

Properties
Space group = C222_1, No. 20
E_form (uncorrected) = -0.49 eV/atom

```
26
Lattice="-8.052 3.652 5.332 3.718 -7.950 5.439 6.462 6.604 5.236" Properties=species:S:1:pos:R:3 pbc="T T T"
Rb -2.669 -2.646 6.632
Rb 1.565 1.650 6.757
Co 2.175 -5.697 5.744
Co -2.533 5.463 8.249
Co -0.064 7.986 10.303
Co 4.676 -3.141 7.717
Co -1.085 -1.076 2.697
Co -0.018 0.080 10.692
Br 4.080 6.728 6.328
Br 0.264 -2.157 11.474
Br 1.163 -1.333 1.937
Br -1.252 1.374 12.274
Br 4.402 3.438 8.249
Br -1.157 0.010 8.663
Br -1.050 0.081 4.715
Br 2.059 1.082 10.386
Br 3.118 -1.642 6.977
Br 1.031 6.014 10.667
Br -0.542 4.393 7.913
Br 0.647 -4.154 6.456
Br 1.102 4.553 4.547
Br -1.678 -5.010 9.269
Br 3.967 0.670 4.150
Br 0.864 4.399 14.047
Br 4.345 -5.325 6.739
Br -2.217 7.630 9.268
```

no.,magnetization (μB per cell)
1,0.671
2,0.000
3,22.047